Entry 1:
Entry from the Alexandria database: an optimized crystal structure of CsAgAuO (GGA-PBE).

abc: 3.331 4.054 14.258
angles: 90.00 90.00 90.00
Space group Amm2 (No. 38)
Asymmetric unit:
Cs 0.000 0.000 0.000 x2
Ag 0.000 0.000 0.295 x2
Au 0.500 0.000 0.715 x2
O 0.500 0.000 0.398 x2

Computed properties:
volume = 193 Å³/cell
calculated total energy = -3.20 eV per atom
crystal system = orthorhombic
energy relative to the elements, uncorrected = -0.847 eV per formula unit
DOS at the Fermi energy = 3.304 states/eV per cell

Entry 2:
Entry from the Alexandria database: an optimized crystal structure of Cs8Ag2AuO (GGA-PBE).

abc: 8.544 8.834 9.782
angles: 90.43 90.51 95.23
Space group P-1 (No. 2)
Asymmetric unit:
Cs 0.191 0.238 0.499 x2
Cs 0.208 0.651 0.711 x2
Cs 0.210 0.654 0.294 x2
Cs 0.284 0.167 0.000 x2
Ag 0.498 0.998 0.648 x2
Au 0.000 0.500 0.000 x1
O 0.000 0.500 0.500 x1

Computed properties:
volume = 735 Å³/cell
calculated total energy = -2.00 eV per atom
crystal system = triclinic
energy relative to the elements, uncorrected = -3.222 eV per formula unit
DOS at the Fermi energy = 5.913 states/eV per cell

Entry 3:
Entry from the Alexandria database: an optimized crystal structure of Cs2AgPAu (GGA-PBE).

abc: 7.091 7.091 4.501
angles: 90.00 90.00 90.00
Space group P4/mmm (No. 123)
Asymmetric unit:
Cs 0.000 0.500 0.000 x2
Ag 0.000 0.000 0.500 x1
P 0.500 0.500 0.000 x1
Au 0.500 0.500 0.500 x1

Computed properties:
volume = 226 Å³/cell
calculated total energy = -2.71 eV per atom
crystal system = tetragonal
energy of formation from the pure elements = -58 meV/atom
DOS at the Fermi energy = 2.745 states/eV per cell

Entry 4:
Entry from the Alexandria database: an optimized crystal structure of CsAgPbAu2 (GGA-PBE).

abc: 5.611 5.611 5.496
angles: 90.00 90.00 90.00
Space group P4/mmm (No. 123)
Asymmetric unit:
Cs 0.000 0.000 0.000 x1
Ag 0.500 0.500 0.000 x1
Pb 0.500 0.500 0.500 x1
Au 0.000 0.500 0.500 x2

Computed properties:
volume = 173 Å³/cell
calculated total energy = -2.75 eV per atom
crystal system = tetragonal
energy of formation from the pure elements = 46 meV/atom
DOS at the Fermi energy = 3.019 states/eV per cell

Entry 5:
Entry from the Alexandria database: an optimized crystal structure of CsAg2PtAu (GGA-PBE).

abc: 5.310 5.310 5.225
angles: 90.00 90.00 90.00
Space group P4/mmm (No. 123)
Asymmetric unit:
Cs 0.000 0.000 0.000 x1
Ag 0.000 0.500 0.500 x2
Pt 0.500 0.500 0.000 x1
Au 0.500 0.500 0.500 x1

Computed properties:
volume = 147 Å³/cell
calculated total energy = -2.81 eV per atom
crystal system = tetragonal
energy of formation from the pure elements = 360 meV/atom
DOS at the Fermi energy = 2.022 states/eV per cell

Entry 6:
Entry from the Alexandria database: an optimized crystal structure of CsRbAgAu (GGA-PBE).

abc: 8.573 4.950 9.610
angles: 90.00 107.36 90.00
Space group Cm (No. 8)
Asymmetric unit:
Cs 0.000 0.000 0.000 x2
Rb 0.164 0.000 0.490 x2
Ag 0.253 0.500 0.258 x2
Au 0.418 0.000 0.253 x2

Computed properties:
volume = 389 Å³/cell
calculated total energy = -2.13 eV per atom
crystal system = monoclinic
distance to the lowest polymorph of the same formula = 0.0 meV per atom
energy of formation from the pure elements = -141 meV/atom
DOS at the Fermi energy = 3.689 states/eV per cell

Entry 7:
Entry from the Alexandria database: an optimized crystal structure of Cs4Rb2AgAu2 (GGA-PBE).

abc: 6.889 9.328 10.810
angles: 80.10 89.96 68.43
Space group P-1 (No. 2)
Asymmetric unit:
Cs 0.009 0.481 0.216 x2
Cs 0.299 0.903 0.857 x2
Rb 0.369 0.762 0.431 x2
Ag 0.500 0.500 0.000 x1
Au 0.479 0.544 0.735 x2

Computed properties:
volume = 635 Å³/cell
calculated total energy = -1.73 eV per atom
crystal system = triclinic
energy of formation from the pure elements = -91 meV/atom
DOS at the Fermi energy = 4.217 states/eV per cell

Entry 8:
Entry from the Alexandria database: an optimized crystal structure of Cs6RbAgAu2 (GGA-PBE).

abc: 17.558 20.335 7.105
angles: 90.00 98.83 90.00
Space group C2/c (No. 15)
Asymmetric unit:
Cs 0.122 0.071 0.265 x8
Cs 0.140 0.438 0.931 x8
Cs 0.165 0.220 0.716 x8
Rb 0.000 0.317 0.250 x4
Ag 0.000 0.089 0.750 x4
Au 0.189 0.386 0.459 x8

Computed properties:
volume = 2507 Å³/cell
calculated total energy = -1.64 eV per atom
crystal system = monoclinic
energy of formation from the pure elements = -93 meV/atom
DOS at the Fermi energy = 31.916 states/eV per cell

Entry 9:
Entry from the Alexandria database: an optimized crystal structure of CsRbAgAu (GGA-PBE).

abc: 8.675 8.675 8.675
angles: 90.00 90.00 90.00
Space group F-43m (No. 216)
Asymmetric unit:
Cs 0.000 0.000 0.000 x4
Rb 0.000 0.000 0.500 x4
Ag 0.250 0.250 0.250 x4
Au 0.250 0.250 0.750 x4

Computed properties:
volume = 653 Å³/cell
calculated total energy = -2.08 eV per atom
crystal system = cubic
distance to the lowest polymorph of the same formula = 45.1 meV per atom
energy of formation from the pure elements = -96 meV/atom
DOS at the Fermi energy = 0.285 states/eV per cell

Entry 10:
Entry from the Alexandria database: an optimized crystal structure of CsAg2AuS2 (GGA-PBE).

abc: 6.753 10.918 4.552
angles: 90.00 90.00 90.00
Space group Pnnm (No. 58)
Asymmetric unit:
Cs 0.000 0.000 0.000 x2
Ag 0.030 0.292 0.500 x4
Au 0.000 0.500 0.000 x2
S 0.175 0.315 0.000 x4

Computed properties:
volume = 336 Å³/cell
calculated total energy = -3.42 eV per atom
crystal system = orthorhombic
energy relative to the elements, uncorrected = -2.455 eV per formula unit

Entry 11:
Entry from the Alexandria database: an optimized crystal structure of CsAg2AuSe2 (GGA-PBE).

abc: 7.214 10.939 4.697
angles: 90.00 90.00 90.00
Space group Pnnm (No. 58)
Asymmetric unit:
Cs 0.000 0.000 0.000 x2
Ag 0.036 0.303 0.500 x4
Au 0.000 0.500 0.000 x2
Se 0.192 0.313 0.000 x4

Computed properties:
volume = 371 Å³/cell
calculated total energy = -3.21 eV per atom
crystal system = orthorhombic
energy relative to the elements, uncorrected = -2.485 eV per formula unit

Entry 12:
Entry from the Alexandria database: an optimized crystal structure of CsAg2SnAu (GGA-PBE).

abc: 5.427 5.427 5.467
angles: 90.00 90.00 90.00
Space group P4/mmm (No. 123)
Asymmetric unit:
Cs 0.000 0.000 0.000 x1
Ag 0.000 0.500 0.500 x2
Sn 0.500 0.500 0.500 x1
Au 0.500 0.500 0.000 x1

Computed properties:
volume = 161 Å³/cell
calculated total energy = -2.79 eV per atom
crystal system = tetragonal
energy of formation from the pure elements = -20 meV/atom
DOS at the Fermi energy = 1.418 states/eV per cell

Entry 13:
Entry from the Alexandria database: an optimized crystal structure of CsAgSnAu (GGA-PBE).

abc: 8.348 4.804 7.475
angles: 90.00 112.07 90.00
Space group Cm (No. 8)
Asymmetric unit:
Cs 0.000 0.000 0.000 x2
Ag 0.313 0.500 0.442 x2
Sn 0.029 0.500 0.589 x2
Au 0.169 0.000 0.511 x2

Computed properties:
volume = 278 Å³/cell
calculated total energy = -2.93 eV per atom
crystal system = monoclinic
energy of formation from the pure elements = -186 meV/atom
DOS at the Fermi energy = 3.708 states/eV per cell

Entry 14:
Entry from the Alexandria database: an optimized crystal structure of CsAgTe2Au (GGA-PBE).

abc: 7.679 12.547 7.631
angles: 90.00 90.00 90.00
Space group Cmme (No. 67)
Asymmetric unit:
Cs 0.000 0.250 0.246 x4
Ag 0.250 0.000 0.500 x4
Te 0.000 0.107 0.707 x8
Au 0.000 0.000 0.000 x4

Computed properties:
volume = 735 Å³/cell
calculated total energy = -3.07 eV per atom
crystal system = orthorhombic
energy relative to the elements, uncorrected = -2.073 eV per formula unit
DOS at the Fermi energy = 8.610 states/eV per cell

Entry 15:
Entry from the Alexandria database: an optimized crystal structure of CsTi2AgAu (GGA-PBE).

abc: 4.946 4.946 5.370
angles: 90.00 90.00 90.00
Space group P4/mmm (No. 123)
Asymmetric unit:
Cs 0.000 0.000 0.000 x1
Ti 0.000 0.500 0.000 x2
Ag 0.000 0.000 0.500 x1
Au 0.500 0.500 0.500 x1

Computed properties:
volume = 131 Å³/cell
calculated total energy = -2.52 eV per atom
crystal system = tetragonal
distance to the lowest polymorph of the same formula = 1104.6 meV per atom
energy of formation from the pure elements = 2033 meV/atom
DOS at the Fermi energy = 5.530 states/eV per cell

Entry 16:
Entry from the Alexandria database: an optimized crystal structure of CsTi2AgAu (GGA-PBE).

abc: 5.178 5.178 5.460
angles: 90.00 90.00 90.00
Space group P4/mmm (No. 123)
Asymmetric unit:
Cs 0.000 0.000 0.000 x1
Ti 0.000 0.500 0.500 x2
Ag 0.500 0.500 0.500 x1
Au 0.500 0.500 0.000 x1

Computed properties:
volume = 146 Å³/cell
calculated total energy = -3.63 eV per atom
crystal system = tetragonal
distance to the lowest polymorph of the same formula = 0.0 meV per atom
energy of formation from the pure elements = 928 meV/atom
DOS at the Fermi energy = 7.825 states/eV per cell

Entry 17:
Entry from the Alexandria database: an optimized crystal structure of Cs2Tl4AgAu3 (GGA-PBE).

abc: 5.266 5.266 11.501
angles: 90.00 90.00 90.00
Space group P-4m2 (No. 115)
Asymmetric unit:
Cs 0.000 0.500 0.242 x2
Tl 0.000 0.000 0.500 x1
Tl 0.000 0.500 0.884 x2
Tl 0.500 0.500 0.500 x1
Ag 0.500 0.500 0.000 x1
Au 0.000 0.000 0.000 x1
Au 0.000 0.500 0.626 x2

Computed properties:
volume = 319 Å³/cell
calculated total energy = -2.50 eV per atom
crystal system = tetragonal
energy of formation from the pure elements = -116 meV/atom
DOS at the Fermi energy = 5.640 states/eV per cell

Entry 18:
Entry from the Alexandria database: an optimized crystal structure of CsZn2AgAu (GGA-PBE).

abc: 5.079 5.079 5.569
angles: 90.00 90.00 90.00
Space group P4/mmm (No. 123)
Asymmetric unit:
Cs 0.000 0.000 0.000 x1
Zn 0.000 0.500 0.500 x2
Ag 0.500 0.500 0.000 x1
Au 0.500 0.500 0.500 x1

Computed properties:
volume = 144 Å³/cell
calculated total energy = -1.92 eV per atom
crystal system = tetragonal
energy of formation from the pure elements = -19 meV/atom
DOS at the Fermi energy = 0.783 states/eV per cell

Entry 19:
Entry from the Alexandria database: an optimized crystal structure of Cs2ZnAgAu (GGA-PBE).

abc: 6.808 6.808 5.077
angles: 90.00 90.00 90.00
Space group P4/mmm (No. 123)
Asymmetric unit:
Cs 0.000 0.500 0.000 x2
Zn 0.000 0.000 0.500 x1
Ag 0.500 0.500 0.500 x1
Au 0.000 0.000 0.000 x1

Computed properties:
volume = 235 Å³/cell
calculated total energy = -1.84 eV per atom
crystal system = tetragonal
energy of formation from the pure elements = -19 meV/atom
DOS at the Fermi energy = 0.552 states/eV per cell

Entry 20:
Entry from the Alexandria database: an optimized crystal structure of CuAg6Au8 (GGA-PBE).

abc: 10.7399 10.7399 2.8950
angles: 90.00 90.00 120.00
Space group P-3 (No. 147)
Asymmetric unit:
Cu 0.0000 0.0000 0.0000 x1
Ag 0.0914 0.6296 0.7585 x6
Au 0.0682 0.2659 0.7341 x6
Au 0.3333 0.6667 0.2584 x2

Computed properties:
volume = 289 Å³/cell
calculated total energy = -3.05 eV per atom
crystal system = trigonal
distance to the lowest polymorph of the same formula = 47.5 meV per atom
energy of formation from the pure elements = 107 meV/atom
DOS at the Fermi energy = 3.838 states/eV per cell